Below is Be2AlMo after structural relaxation, with properties calculated at the GGA-PBE level.

Spin magnetization = 0.01 μB per formula unit
Total DFT energy (no corrections) = -83.77 eV per cell
Theoretical density = 4.78 Mg/m³

abc: 5.809 5.809 5.809
angles: 90.00 90.00 90.00
Space group F-43m (No. 216)
Asymmetric unit:
Be 0.000 0.000 0.000 (multiplicity 4)
Be 0.250 0.250 0.250 (multiplicity 4)
Al 0.250 0.250 0.750 (multiplicity 4)
Mo 0.000 0.000 0.500 (multiplicity 4)